Entry 1:
Nd2MgU2Ru5: relaxed, PBE-GGA.

For the formation energy, the calculation gives -0.1272 eV/atom.

The space group is P4/mbm (No. 127) and the conventional cell measures 11.0294, 11.0294 and 3.2847 Å, with angles of 90.00, 90.00 and 90.00 degrees. The inequivalent atoms are Nd at (0.1601, 0.3399, 0.0000), Mg at (0.0000, 0.0000, 0.0000), U at (0.1542, 0.6542, 0.0000), Ru at (0.0000, 0.5000, 0.5000) and Ru at (0.0584, 0.7961, 0.5000).



Entry 2:
PmPr8Y5: relaxed, PBE-GGA.

For the formation energy, the calculation gives 0.2410 eV/atom.

The space group is I-4 (No. 82) and the conventional cell measures 9.7735, 9.7735 and 10.4716 Å, with angles of 90.00, 90.00 and 90.00 degrees. The inequivalent atoms are Pm at (0.0000, 0.0000, 0.0000), Pr at (0.0679, 0.1712, 0.3480), Pr at (0.0917, 0.3199, 0.0017), Y at (0.0000, 0.5000, 0.2500) and Y at (0.1103, 0.2978, 0.6762).



Entry 3:
SmDy2Bi2: relaxed, PBE-GGA.

For the formation energy, the calculation gives -0.4329 eV/atom.

The space group is C2/m (No. 12) and the conventional cell measures 7.4161, 6.1732 and 7.4662 Å, with angles of 90.00, 105.90 and 90.00 degrees. The inequivalent atoms are Sm at (0.0000, 0.0000, 0.0000), Dy at (0.0000, 0.2498, 0.5000) and Bi at (0.1691, 0.5000, 0.2096).



Entry 4:
Er3Sc2Pb3: relaxed, PBE-GGA.

For the formation energy, the calculation gives -0.5188 eV/atom.

The space group is P6_3/mcm (No. 193) and the conventional cell measures 8.8322, 8.8322 and 6.3296 Å, with angles of 90.00, 90.00 and 120.00 degrees. The inequivalent atoms are Er at (0.0000, 0.2367, 0.2500), Sc at (0.3333, 0.6667, 0.0000) and Pb at (0.0000, 0.3995, 0.7500).



Entry 5:
IrPbAu: relaxed, PBE-GGA.

For the formation energy, the calculation gives 0.4564 eV/atom. The value obtained for the excess energy over the best structure of this formula in the dataset is 0.45 eV/f.u.

The space group is Imm2 (No. 44) and the conventional cell measures 3.1982, 3.9016 and 9.3349 Å, with angles of 90.00, 90.00 and 90.00 degrees. The inequivalent atoms are Ir at (0.0000, 0.0000, 0.0000), Pb at (0.0000, 0.0000, 0.6618) and Au at (0.0000, 0.0000, 0.3435).



Entry 6:
La2TbYO: relaxed, PBE-GGA.

Its total energy is -6.326 eV/atom.

The space group is P4/mmm (No. 123) and the conventional cell measures 5.3201, 5.3201 and 4.7396 Å, with angles of 90.00, 90.00 and 90.00 degrees. The inequivalent atoms are La at (0.0000, 0.5000, 0.0000), Tb at (0.0000, 0.0000, 0.5000), Y at (0.5000, 0.5000, 0.5000) and O at (0.0000, 0.0000, 0.0000).



Please write out number 1 again, unchanged.
Nd2MgU2Ru5: relaxed, PBE-GGA.

For the formation energy, the calculation gives -0.1272 eV/atom.

The space group is P4/mbm (No. 127) and the conventional cell measures 11.0294, 11.0294 and 3.2847 Å, with angles of 90.00, 90.00 and 90.00 degrees. The inequivalent atoms are Nd at (0.1601, 0.3399, 0.0000), Mg at (0.0000, 0.0000, 0.0000), U at (0.1542, 0.6542, 0.0000), Ru at (0.0000, 0.5000, 0.5000) and Ru at (0.0584, 0.7961, 0.5000).



Copy entry 4 word for word.
Er3Sc2Pb3: relaxed, PBE-GGA.

For the formation energy, the calculation gives -0.5188 eV/atom.

The space group is P6_3/mcm (No. 193) and the conventional cell measures 8.8322, 8.8322 and 6.3296 Å, with angles of 90.00, 90.00 and 120.00 degrees. The inequivalent atoms are Er at (0.0000, 0.2367, 0.2500), Sc at (0.3333, 0.6667, 0.0000) and Pb at (0.0000, 0.3995, 0.7500).